Material: Zr12TiZn3
Method: DFT, PBE-GGA
State: relaxed

a = 4.383 Å, b = 4.383 Å, c = 17.513 Å
α = 90.00°, β = 90.00°, γ = 90.00°
Element x y z (fractional)
Zr 0.000 0.000 0.000
Zr 0.000 0.000 0.246
Zr 0.000 0.000 0.500
Zr 0.000 0.000 0.754
Zr 0.000 0.500 0.124
Zr 0.000 0.500 0.374
Zr 0.000 0.500 0.626
Zr 0.000 0.500 0.876
Zr 0.500 0.000 0.124
Zr 0.500 0.000 0.374
Zr 0.500 0.000 0.626
Zr 0.500 0.000 0.876
Ti 0.500 0.500 0.500
Zn 0.500 0.500 0.000
Zn 0.500 0.500 0.247
Zn 0.500 0.500 0.753

Uncorrected energy (eV/f.u.): -115.600
Spin magnetization (μB/f.u.): 0.0
Space-group type: P4/mmm (123)